No. 1
An optimized crystal structure of SrAl8Fe4. Source: the Alexandria database, functional PBE.

Summary:
Energy relative to the elements   -297 meV/atom
Symmetry   I4/mmm, No. 139

Lattice parameters (Å, degrees): 5.073 6.738 6.738 81.85 67.89 67.89
Site moments in Bohr magnetons follow the coordinates.
Atoms (fractional coordinates):
1 Fe 0.000 0.000 0.500  1.62
2 Fe 0.000 0.500 0.000  1.62
3 Al 0.500 0.229 0.771  -0.02
4 Al 0.000 0.341 0.659  -0.02
5 Al 0.729 0.771 0.771  -0.02
6 Sr 0.000 0.000 0.000  -0.02
7 Al 0.271 0.229 0.229  -0.02
8 Fe 0.500 0.500 0.000  1.62
9 Al 0.000 0.659 0.341  -0.02
10 Fe 0.500 0.000 0.500  1.62
11 Al 0.500 0.771 0.229  -0.02
12 Al 0.341 0.659 0.659  -0.02
13 Al 0.659 0.341 0.341  -0.02

No. 2
An optimized crystal structure of KTe3Pb. Source: the Alexandria database, functional PBE.

Summary:
ΔE to the lowest computed polymorph   0 meV per atom
Symmetry   Pm-3m, No. 221

Lattice parameters (Å, degrees): 6.002 6.002 6.002 90.00 90.00 90.00
Atoms (fractional coordinates):
1 Te 0.500 0.000 0.000
2 Te 0.000 0.000 0.500
3 K 0.500 0.500 0.500
4 Pb 0.000 0.000 0.000
5 Te 0.000 0.500 0.000

No. 3
An optimized crystal structure of Ti5Ga3Hg. Source: the Alexandria database, functional PBE.

Summary:
Energy relative to the elements   -318 meV/atom
Symmetry   P6_3/mcm, No. 193

Lattice parameters (Å, degrees): 5.491 7.973 7.973 120.00 90.00 90.00
Atoms (fractional coordinates):
1 Ti 0.750 0.320 0.000
2 Ga 0.750 0.358 0.358
3 Hg 0.500 0.000 0.000
4 Hg 0.000 0.000 0.000
5 Ga 0.750 0.000 0.642
6 Ti 0.250 0.680 0.000
7 Ti 0.750 0.000 0.320
8 Ti 0.500 0.333 0.667
9 Ti 0.750 0.680 0.680
10 Ga 0.250 0.000 0.358
11 Ga 0.250 0.642 0.642
12 Ga 0.750 0.642 0.000
13 Ti 0.500 0.667 0.333
14 Ti 0.000 0.667 0.333
15 Ti 0.250 0.320 0.320
16 Ti 0.250 0.000 0.680
17 Ga 0.250 0.358 0.000
18 Ti 0.000 0.333 0.667

Results for magnetization: 0.471 0.000 0.000 (in μB/atom, following the order of the records).